HgP PBE optimized geometry; total energy = -10.95 eV/cell; polymorph energy (0 for the lowest one) = 0.18 eV per formula unit; energy of formation from the pure elements = 0.2 eV per formula unit; magnetic moment = 0.0000 μB per atom; space-group type = Pmma
1.0
-0.2521 -3.1725 -0.6577
4.3217 -0.9733 3.0379
-3.2795 -0.6626 4.4531
Hg P
2 2
direct
0.2500 0.0000 0.7614 Hg
0.7500 0.0000 0.2386 Hg
0.2500 0.5000 0.6338 P
0.7500 0.5000 0.3662 P